DFT (PBE+U) results for Co7Te4Br6O12 after structural relaxation.

Values from the calculation:
Electronic total energy = -4.9842 eV per atom
Density of states at the Fermi level = 0.0000 states/eV per atom
Space group = No. 15

Cell lengths 11.352, 11.352, 14.858 Å; angles 121.33, 121.33, 44.89 degrees
Element x y z (fractional)
Co  0.000  0.000  0.000
Co  0.000  0.000  0.500
Co  0.062  0.266  0.161
Co  0.102  0.476  0.122
Co  0.104  0.472  0.619
Co  0.266  0.062  0.661
Co  0.472  0.104  0.119
Co  0.476  0.102  0.622
Co  0.524  0.898  0.378
Co  0.528  0.896  0.881
Co  0.734  0.938  0.339
Co  0.896  0.528  0.381
Co  0.898  0.524  0.878
Co  0.938  0.734  0.839
Te  0.113  0.125  0.401
Te  0.125  0.113  0.901
Te  0.321  0.324  0.859
Te  0.324  0.321  0.359
Te  0.676  0.679  0.641
Te  0.679  0.676  0.141
Te  0.875  0.887  0.099
Te  0.887  0.875  0.599
Br  0.094  0.724  0.324
Br  0.188  0.711  0.853
Br  0.276  0.906  0.176
Br  0.289  0.812  0.647
Br  0.372  0.391  0.109
Br  0.391  0.372  0.609
Br  0.609  0.628  0.391
Br  0.628  0.609  0.891
Br  0.711  0.188  0.353
Br  0.724  0.094  0.824
Br  0.812  0.289  0.147
Br  0.906  0.276  0.676
O  0.007  0.362  0.470
O  0.056  0.340  0.959
O  0.065  0.126  0.007
O  0.083  0.492  0.855
O  0.123  0.342  0.326
O  0.126  0.065  0.507
O  0.272  0.279  0.700
O  0.279  0.272  0.200
O  0.340  0.056  0.459
O  0.342  0.123  0.826
O  0.362  0.007  0.970
O  0.492  0.083  0.355
O  0.508  0.917  0.645
O  0.638  0.993  0.030
O  0.658  0.877  0.174
O  0.660  0.944  0.541
O  0.721  0.728  0.800
O  0.728  0.721  0.300
O  0.874  0.935  0.493
O  0.877  0.658  0.674
O  0.917  0.508  0.145
O  0.935  0.874  0.993
O  0.944  0.660  0.041
O  0.993  0.638  0.530